# Fe2ReCl8 PBE-GGA relaxed
# Uncorrected formation energy = -618 meV/atom
data_Fe2ReCl8
_chemical_formula_sum 'Fe2 Re1 Cl8'
_cell_length_a 8.244
_cell_length_b 8.244
_cell_length_c 5.929
_cell_angle_alpha 91.89
_cell_angle_beta 91.89
_cell_angle_gamma 55.33
_space_group_name_H-M_alt 'P 1'
_space_group_IT_number 1
loop_
_space_group_symop_operation_xyz
'x,y,z'
loop_
_atom_site_label
_atom_site_fract_x
_atom_site_fract_y
_atom_site_fract_z
_atom_site_occupancy
Fe1 0.149 0.149 0.393 1
Fe2 0.851 0.851 0.607 1
Re1 0.000 0.000 0.000 1
Cl1 0.136 0.136 0.783 1
Cl2 0.161 0.706 0.767 1
Cl3 0.293 0.293 0.330 1
Cl4 0.294 0.839 0.233 1
Cl5 0.706 0.161 0.767 1
Cl6 0.707 0.707 0.670 1
Cl7 0.839 0.294 0.233 1
Cl8 0.864 0.864 0.217 1

---

# Ir2RuAu PBE-GGA relaxed
# DFT formation energy = 0.158 eV/atom
# Energy above the lowest structure with this stoichiometry = 0 meV per atom
data_Ir2RuAu
_chemical_formula_sum 'Ir2 Ru1 Au1'
_cell_length_a 2.766
_cell_length_b 2.766
_cell_length_c 7.957
_cell_angle_alpha 90.00
_cell_angle_beta 90.00
_cell_angle_gamma 90.00
_space_group_name_H-M_alt 'P 1'
_space_group_IT_number 1
loop_
_space_group_symop_operation_xyz
'x,y,z'
loop_
_atom_site_label
_atom_site_fract_x
_atom_site_fract_y
_atom_site_fract_z
_atom_site_occupancy
Ir1 0.000 0.000 0.230 1
Ir2 0.000 0.000 0.770 1
Ru1 0.500 0.500 0.000 1
Au1 0.500 0.500 0.500 1

---

# YOsCl2 PBE-GGA relaxed
# Uncorrected formation energy = -431 meV/atom
# Energy above the lowest structure with this stoichiometry = 143 meV per atom
data_YOsCl2
_chemical_formula_sum 'Y1 Os1 Cl2'
_cell_length_a 3.981
_cell_length_b 3.518
_cell_length_c 6.967
_cell_angle_alpha 90.00
_cell_angle_beta 106.46
_cell_angle_gamma 90.00
_space_group_name_H-M_alt 'P 1'
_space_group_IT_number 1
loop_
_space_group_symop_operation_xyz
'x,y,z'
loop_
_atom_site_label
_atom_site_fract_x
_atom_site_fract_y
_atom_site_fract_z
_atom_site_occupancy
Y1 0.000 0.000 0.000 1
Os1 0.585 0.500 0.171 1
Cl1 0.405 0.500 0.810 1
Cl2 0.720 0.000 0.439 1

---

# CsRb2ZrF6 PBE-GGA relaxed
# Uncorrected formation energy = -2960 meV/atom
data_CsRb2ZrF6
_chemical_formula_sum 'Cs1 Rb2 Zr1 F6'
_cell_length_a 7.055
_cell_length_b 7.055
_cell_length_c 7.055
_cell_angle_alpha 119.71
_cell_angle_beta 119.71
_cell_angle_gamma 90.51
_space_group_name_H-M_alt 'P 1'
_space_group_IT_number 1
loop_
_space_group_symop_operation_xyz
'x,y,z'
loop_
_atom_site_label
_atom_site_fract_x
_atom_site_fract_y
_atom_site_fract_z
_atom_site_occupancy
Cs1 0.000 0.000 0.000 1
Rb1 0.250 0.750 0.500 1
Rb2 0.750 0.250 0.500 1
Zr1 0.500 0.500 0.000 1
F1 0.289 0.289 0.578 1
F2 0.289 0.711 0.000 1
F3 0.292 0.292 0.000 1
F4 0.708 0.708 0.000 1
F5 0.711 0.289 0.000 1
F6 0.711 0.711 0.422 1

---

# Rb2ZnO2 PBE-GGA relaxed
# Uncorrected formation energy = -1270 meV/atom
data_Rb2ZnO2
_chemical_formula_sum 'Rb16 Zn8 O16'
_cell_length_a 9.733
_cell_length_b 6.430
_cell_length_c 16.182
_cell_angle_alpha 90.00
_cell_angle_beta 118.78
_cell_angle_gamma 90.00
_space_group_name_H-M_alt 'P 1'
_space_group_IT_number 1
loop_
_space_group_symop_operation_xyz
'x,y,z'
loop_
_atom_site_label
_atom_site_fract_x
_atom_site_fract_y
_atom_site_fract_z
_atom_site_occupancy
Rb1 0.067 0.066 0.121 1
Rb2 0.067 0.434 0.621 1
Rb3 0.175 0.581 0.259 1
Rb4 0.175 0.919 0.759 1
Rb5 0.355 0.673 0.528 1
Rb6 0.355 0.827 0.028 1
Rb7 0.419 0.127 0.663 1
Rb8 0.419 0.373 0.163 1
Rb9 0.581 0.627 0.837 1
Rb10 0.581 0.873 0.337 1
Rb11 0.645 0.173 0.972 1
Rb12 0.645 0.327 0.472 1
Rb13 0.825 0.081 0.241 1
Rb14 0.825 0.419 0.741 1
Rb15 0.933 0.566 0.379 1
Rb16 0.933 0.934 0.879 1
Zn1 0.088 0.052 0.461 1
Zn2 0.088 0.448 0.961 1
Zn3 0.261 0.126 0.372 1
Zn4 0.261 0.374 0.872 1
Zn5 0.739 0.626 0.128 1
Zn6 0.739 0.874 0.628 1
Zn7 0.912 0.552 0.039 1
Zn8 0.912 0.948 0.539 1
O1 0.121 0.604 0.860 1
O2 0.121 0.896 0.360 1
O3 0.133 0.633 0.073 1
O4 0.133 0.867 0.573 1
O5 0.243 0.223 0.973 1
O6 0.243 0.277 0.473 1
O7 0.359 0.196 0.301 1
O8 0.359 0.304 0.801 1
O9 0.641 0.696 0.199 1
O10 0.641 0.804 0.699 1
O11 0.757 0.723 0.527 1
O12 0.757 0.777 0.027 1
O13 0.867 0.133 0.427 1
O14 0.867 0.367 0.927 1
O15 0.879 0.104 0.640 1
O16 0.879 0.396 0.140 1

---

# ScPS4 PBE-GGA relaxed
# Uncorrected formation energy = -932 meV/atom
# Energy above the lowest structure with this stoichiometry = 0 meV per atom
data_ScPS4
_chemical_formula_sum 'Sc2 P2 S8'
_cell_length_a 6.263
_cell_length_b 6.556
_cell_length_c 7.498
_cell_angle_alpha 87.35
_cell_angle_beta 88.68
_cell_angle_gamma 81.04
_space_group_name_H-M_alt 'P 1'
_space_group_IT_number 1
loop_
_space_group_symop_operation_xyz
'x,y,z'
loop_
_atom_site_label
_atom_site_fract_x
_atom_site_fract_y
_atom_site_fract_z
_atom_site_occupancy
Sc1 0.204 0.196 0.057 1
Sc2 0.796 0.804 0.943 1
P1 0.312 0.762 0.830 1
P2 0.688 0.238 0.170 1
S1 0.084 0.019 0.770 1
S2 0.121 0.534 0.812 1
S3 0.404 0.791 0.090 1
S4 0.420 0.269 0.326 1
S5 0.580 0.731 0.674 1
S6 0.596 0.209 0.910 1
S7 0.879 0.466 0.188 1
S8 0.916 0.981 0.230 1

---

Density functional theory data (PBE-GGA) for a geometry-optimized PaHBr2 structure.

Geometry as CIF:
```
data_PaHBr2
_chemical_formula_sum 'Pa1 H1 Br2'
_cell_length_a 3.859
_cell_length_b 3.859
_cell_length_c 8.015
_cell_angle_alpha 103.28
_cell_angle_beta 103.28
_cell_angle_gamma 59.99
_space_group_name_H-M_alt 'P 1'
_space_group_IT_number 1
loop_
_space_group_symop_operation_xyz
'x,y,z'
loop_
_atom_site_label
_atom_site_fract_x
_atom_site_fract_y
_atom_site_fract_z
_atom_site_occupancy
Pa1 0.000 0.000 0.000 1
H1 0.667 0.667 0.000 1
Br1 0.249 0.249 0.735 1
Br2 0.418 0.418 0.265 1
```

---

# CdTcCl2 PBE-GGA relaxed
# Uncorrected formation energy = 330 meV/atom
# Energy above the lowest structure with this stoichiometry = 535 meV per atom
data_CdTcCl2
_chemical_formula_sum 'Cd1 Tc1 Cl2'
_cell_length_a 3.218
_cell_length_b 4.407
_cell_length_c 5.774
_cell_angle_alpha 90.00
_cell_angle_beta 90.00
_cell_angle_gamma 90.00
_space_group_name_H-M_alt 'P 1'
_space_group_IT_number 1
loop_
_space_group_symop_operation_xyz
'x,y,z'
loop_
_atom_site_label
_atom_site_fract_x
_atom_site_fract_y
_atom_site_fract_z
_atom_site_occupancy
Cd1 0.000 0.000 0.000 1
Tc1 0.500 0.000 0.500 1
Cl1 0.000 0.500 0.500 1
Cl2 0.500 0.500 0.000 1

---

# PaCoSn2 PBE-GGA relaxed
# DFT formation energy = 0.254 eV/atom
data_PaCoSn2
_chemical_formula_sum 'Pa1 Co1 Sn2'
_cell_length_a 10.460
_cell_length_b 10.460
_cell_length_c 10.460
_cell_angle_alpha 17.41
_cell_angle_beta 17.41
_cell_angle_gamma 17.41
_space_group_name_H-M_alt 'P 1'
_space_group_IT_number 1
loop_
_space_group_symop_operation_xyz
'x,y,z'
loop_
_atom_site_label
_atom_site_fract_x
_atom_site_fract_y
_atom_site_fract_z
_atom_site_occupancy
Pa1 0.000 0.000 0.000 1
Co1 0.500 0.500 0.500 1
Sn1 0.104 0.104 0.104 1
Sn2 0.896 0.896 0.896 1

---

# Sb2RuPb PBE-GGA relaxed
# Uncorrected formation energy = 579 meV/atom
data_Sb2RuPb
_chemical_formula_sum 'Sb2 Ru1 Pb1'
_cell_length_a 4.342
_cell_length_b 4.342
_cell_length_c 4.975
_cell_angle_alpha 90.00
_cell_angle_beta 90.00
_cell_angle_gamma 90.00
_space_group_name_H-M_alt 'P 1'
_space_group_IT_number 1
loop_
_space_group_symop_operation_xyz
'x,y,z'
loop_
_atom_site_label
_atom_site_fract_x
_atom_site_fract_y
_atom_site_fract_z
_atom_site_occupancy
Sb1 0.000 0.500 0.000 1
Sb2 0.500 0.000 0.000 1
Ru1 0.000 0.000 0.500 1
Pb1 0.500 0.500 0.500 1

---

# Ho3Ga3Os PBE-GGA relaxed
# DFT formation energy = -0.536 eV/atom
data_Ho3Ga3Os
_chemical_formula_sum 'Ho6 Ga6 Os2'
_cell_length_a 5.842
_cell_length_b 5.842
_cell_length_c 14.242
_cell_angle_alpha 107.98
_cell_angle_beta 107.98
_cell_angle_gamma 41.75
_space_group_name_H-M_alt 'P 1'
_space_group_IT_number 1
loop_
_space_group_symop_operation_xyz
'x,y,z'
loop_
_atom_site_label
_atom_site_fract_x
_atom_site_fract_y
_atom_site_fract_z
_atom_site_occupancy
Ho1 0.029 0.029 0.382 1
Ho2 0.109 0.109 0.922 1
Ho3 0.241 0.241 0.240 1
Ho4 0.759 0.759 0.760 1
Ho5 0.891 0.891 0.078 1
Ho6 0.971 0.971 0.618 1
Ga1 0.364 0.364 0.461 1
Ga2 0.391 0.391 0.925 1
Ga3 0.468 0.468 0.768 1
Ga4 0.532 0.532 0.232 1
Ga5 0.609 0.609 0.075 1
Ga6 0.636 0.636 0.539 1
Os1 0.263 0.263 0.605 1
Os2 0.737 0.737 0.395 1

---

# Hf2ZrSi PBE-GGA relaxed
# Uncorrected formation energy = -491 meV/atom
data_Hf2ZrSi
_chemical_formula_sum 'Hf4 Zr2 Si2'
_cell_length_a 5.631
_cell_length_b 5.631
_cell_length_c 8.463
_cell_angle_alpha 90.39
_cell_angle_beta 90.39
_cell_angle_gamma 37.39
_space_group_name_H-M_alt 'P 1'
_space_group_IT_number 1
loop_
_space_group_symop_operation_xyz
'x,y,z'
loop_
_atom_site_label
_atom_site_fract_x
_atom_site_fract_y
_atom_site_fract_z
_atom_site_occupancy
Hf1 0.000 0.000 0.000 1
Hf2 0.001 0.001 0.587 1
Hf3 0.300 0.300 0.798 1
Hf4 0.726 0.726 0.088 1
Zr1 0.426 0.426 0.291 1
Zr2 0.726 0.726 0.503 1
Si1 0.127 0.127 0.293 1
Si2 0.599 0.599 0.796 1

---

| no. | spin magnetization (Bohr magnetons per cell) | total DFT energy (no corrections) (eV/atom) |
| --- | --- | --- |
| 1 | 11.00 | -4.63 |
| 2 | 0.00 | -7.41 |
| 3 | 1.01 | -5.78 |
| 4 | 0.49 | -5.22 |
| 5 | 0.00 | -3.90 |
| 6 | 0.00 | -5.64 |
| 7 | 2.00 | -5.11 |
| 8 | 3.00 | -3.41 |
| 9 | 0.65 | -5.90 |
| 10 | 0.00 | -4.73 |
| 11 | 0.00 | -5.40 |
| 12 | 0.00 | -8.96 |